Run one
An optimized crystal structure of LaRePt2. Source: Alexandria via LeMat-Bulk, functional PBE.

Calculated values
Symmetry: P4/mmm, No. 123

a = 2.9056 Å, b = 2.9056 Å, c = 8.6636 Å
α = 90.00°, β = 90.00°, γ = 90.00°
Positions (direct):
1 Pt 0.0000 0.0000 0.4598
2 Pt 0.0000 0.0000 0.0402
3 La 0.5000 0.5000 0.7500
4 Re 0.5000 0.5000 0.2500

---

Run two
An optimized crystal structure of LaRePt2. Source: Alexandria via LeMat-Bulk, functional PBE.

Calculated values
Symmetry: P4mm, No. 99

a = 3.3541 Å, b = 3.3541 Å, c = 7.0135 Å
α = 90.00°, β = 90.00°, γ = 90.00°
Positions (direct):
1 Re 0.0000 0.0000 0.4324
2 Pt 0.5000 0.5000 0.2657
3 Pt 0.0000 0.0000 0.0427
4 La 0.5000 0.5000 0.7592

---

Run three
An optimized crystal structure of LaRePt2. Source: Alexandria via LeMat-Bulk, functional PBE.

Calculated values
Symmetry: Cm, No. 8

a = 5.0119 Å, b = 5.0119 Å, c = 5.5696 Å
α = 79.42°, β = 79.42°, γ = 34.54°
Positions (direct):
1 Re 0.4911 0.4911 0.5830
2 Pt 0.7562 0.7562 0.7096
3 Pt 0.0087 0.0087 0.9702
4 La 0.2440 0.2440 0.2372

---

Run four
An optimized crystal structure of LaRePt2. Source: Alexandria via LeMat-Bulk, functional PBE.

Calculated values
Symmetry: Cmmm, No. 65

a = 5.1226 Å, b = 5.1226 Å, c = 2.9355 Å
α = 90.00°, β = 90.00°, γ = 108.19°
Positions (direct):
1 Pt 0.0000 0.0000 0.0000
2 Pt 0.5000 0.5000 0.0000
3 La 0.0000 0.5000 0.5000
4 Re 0.5000 0.0000 0.5000

---

Stability, descending: run one, run four, run three, run two

---

Run one
An optimized crystal structure of LaRePt2. Source: Alexandria via LeMat-Bulk, functional PBE.

Calculated values
Symmetry: Pm, No. 6

a = 4.6967 Å, b = 2.9218 Å, c = 5.5676 Å
α = 82.25°, β = 90.00°, γ = 90.00°
Positions (direct):
1 La 0.5000 0.6959 0.7894
2 Pt 0.5000 0.1263 0.3035
3 Pt 0.0000 0.1495 0.9963
4 Re 0.0000 0.5283 0.4109

---

Run two
An optimized crystal structure of LaRePt2. Source: Alexandria via LeMat-Bulk, functional PBE.

Calculated values
Symmetry: C2/m, No. 12

a = 4.6243 Å, b = 4.6243 Å, c = 6.3918 Å
α = 82.00°, β = 82.00°, γ = 36.31°
Positions (direct):
1 La 0.2500 0.2500 0.2500
2 Pt 0.4941 0.4941 0.5667
3 Pt 0.0059 0.0059 0.9333
4 Re 0.7500 0.7500 0.7500

---

Stability, descending: run one, run two

---

Run one
An optimized crystal structure of LaRePt2. Source: Alexandria via LeMat-Bulk, functional PBE.

Calculated values
Symmetry: I-42d, No. 122

a = 4.9846 Å, b = 4.9846 Å, c = 8.9132 Å
α = 73.76°, β = 73.76°, γ = 90.00°
Positions (direct):
1 Re 0.7500 0.2500 0.5000
2 Re 0.0000 0.0000 0.0000
3 La 0.5000 0.5000 0.0000
4 La 0.2500 0.7500 0.5000
5 Pt 0.7557 0.1250 0.2500
6 Pt 0.9943 0.6250 0.2500
7 Pt 0.3750 0.2443 0.7500
8 Pt 0.8750 0.0057 0.7500

---

Run two
An optimized crystal structure of LaRePt2. Source: Alexandria via LeMat-Bulk, functional PBE.

Calculated values
Symmetry: R-3m, No. 166

a = 10.0549 Å, b = 10.0549 Å, c = 10.0549 Å
α = 16.64°, β = 16.64°, γ = 16.64°
Each line ends with the local moment (μB).
Positions (direct):
1 Re 0.2500 0.2500 0.2500  0.07
2 Pt 0.5099 0.5099 0.5099  0.01
3 Pt 0.9901 0.9901 0.9901  0.01
4 La 0.7500 0.7500 0.7500  -0.51

---

Stability, descending: run one, run two

---

Run one
An optimized crystal structure of LaRePt2. Source: Alexandria via LeMat-Bulk, functional PBE.

Calculated values
Symmetry: F-43m, No. 216

a = 4.7565 Å, b = 4.7565 Å, c = 4.7565 Å
α = 60.00°, β = 60.00°, γ = 60.00°
Each line ends with the local moment (μB).
Positions (direct):
1 Re 0.7500 0.7500 0.7500  1.64
2 La 0.5000 0.5000 0.5000  0.07
3 Pt 0.2500 0.2500 0.2500  0.03
4 Pt 0.0000 0.0000 0.0000  0.28

---

Run two
An optimized crystal structure of LaRePt2. Source: Alexandria via LeMat-Bulk, functional PBE.

Calculated values
Symmetry: Fm-3m, No. 225

a = 4.8313 Å, b = 4.8313 Å, c = 4.8313 Å
α = 60.00°, β = 60.00°, γ = 60.00°
Each line ends with the local moment (μB).
Positions (direct):
1 Re 0.5000 0.5000 0.5000  2.02
2 Pt 0.2500 0.2500 0.2500  0.28
3 Pt 0.7500 0.7500 0.7500  0.28
4 La 0.0000 0.0000 0.0000  0.07

---

Stability, descending: run two, run one

---

Run one
An optimized crystal structure of LaRePt. Source: Alexandria via LeMat-Bulk, functional PBE.

Calculated values
Symmetry: I4mm, No. 107

a = 7.1081 Å, b = 7.1082 Å, c = 2.9539 Å
α = 78.01°, β = 78.01°, γ = 23.98°
Positions (direct):
1 La 0.0022 0.0022 0.9978
2 Re 0.6870 0.6870 0.3130
3 Pt 0.3108 0.3108 0.6892

---

Run two
An optimized crystal structure of LaRePt. Source: Alexandria via LeMat-Bulk, functional PBE.

Calculated values
Symmetry: F-43m, No. 216

a = 4.5865 Å, b = 4.5865 Å, c = 4.5865 Å
α = 60.00°, β = 60.00°, γ = 60.00°
Positions (direct):
1 Pt 0.5000 0.5000 0.5000
2 La 0.0000 0.0000 0.0000
3 Re 0.7500 0.7500 0.7500

---

Stability, descending: run one, run two

---

Run one
An optimized crystal structure of LaRePt. Source: Alexandria via LeMat-Bulk, functional PBE.

Calculated values
Symmetry: F-43m, No. 216

a = 4.6979 Å, b = 4.6979 Å, c = 4.6979 Å
α = 60.00°, β = 60.00°, γ = 60.00°
Each line ends with the local moment (μB).
Positions (direct):
1 Re 0.5000 0.5000 0.5000  1.98
2 Pt 0.0000 0.0000 0.0000  0.14
3 La 0.7500 0.7500 0.7500  0.07

---

Run two
An optimized crystal structure of LaRePt. Source: Alexandria via LeMat-Bulk, functional PBE.

Calculated values
Symmetry: I4mm, No. 107

a = 5.8866 Å, b = 5.8866 Å, c = 5.8866 Å
α = 145.59°, β = 145.59°, γ = 49.45°
Positions (direct):
1 La 0.9998 0.9998 0.0000
2 Re 0.7071 0.7071 0.0000
3 Pt 0.2931 0.2931 0.0000

---

Stability, descending: run two, run one

---

Run one
An optimized crystal structure of LaRePt. Source: Alexandria via LeMat-Bulk, functional PBE.

Calculated values
Symmetry: P-6m2, No. 187

a = 4.3274 Å, b = 4.3274 Å, c = 4.4048 Å
α = 90.00°, β = 90.00°, γ = 120.00°
Positions (direct):
1 Re 0.3333 0.6667 0.5001
2 La 0.0000 0.0000 0.0000
3 Pt 0.6667 0.3333 0.5000

---

Run two
An optimized crystal structure of LaRePt. Source: Alexandria via LeMat-Bulk, functional PBE.

Calculated values
Symmetry: P3m1, No. 156

a = 2.9233 Å, b = 2.9233 Å, c = 7.7610 Å
α = 90.00°, β = 90.00°, γ = 120.00°
Positions (direct):
1 La 0.0000 0.0000 0.6676
2 Re 0.3333 0.6667 0.3037
3 Pt 0.6667 0.3333 0.0287

---

Run three
An optimized crystal structure of LaRePt. Source: Alexandria via LeMat-Bulk, functional PBE.

Calculated values
Symmetry: Imm2, No. 44

a = 5.9708 Å, b = 5.9708 Å, c = 5.9708 Å
α = 152.16°, β = 140.23°, γ = 49.24°
Positions (direct):
1 Pt 0.2912 0.2912 0.0000
2 La 0.0010 0.0010 0.0000
3 Re 0.7078 0.7078 0.0000

---

Stability, descending: run one, run three, run two

---

Run one
An optimized crystal structure of LaRe3Pt. Source: Alexandria via LeMat-Bulk, functional PBE.

Calculated values
Symmetry: Pm-3m, No. 221

a = 4.7330 Å, b = 4.7330 Å, c = 4.7330 Å
α = 90.00°, β = 90.00°, γ = 90.00°
Positions (direct):
1 Re 0.0000 0.0000 0.5000
2 Re 0.0000 0.5000 0.0000
3 Re 0.5000 0.0000 0.0000
4 Pt 0.5000 0.5000 0.5000
5 La 0.0000 0.0000 0.0000

---

Run two
An optimized crystal structure of LaRe3Pt. Source: Alexandria via LeMat-Bulk, functional PBE.

Calculated values
Symmetry: Pm-3m, No. 221

a = 4.8417 Å, b = 4.8417 Å, c = 4.8417 Å
α = 90.00°, β = 90.00°, γ = 90.00°
Positions (direct):
1 Re 0.0000 0.5000 0.0000
2 Re 0.5000 0.0000 0.0000
3 Re 0.0000 0.0000 0.5000
4 Pt 0.0000 0.0000 0.0000
5 La 0.5000 0.5000 0.5000

---

Stability, descending: run two, run one

---

Run one
An optimized crystal structure of LaPt2Rh2. Source: Alexandria via LeMat-Bulk, functional PBE.

Calculated values
Symmetry: P4/mbm, No. 127

a = 7.3500 Å, b = 7.3500 Å, c = 3.3708 Å
α = 90.00°, β = 90.00°, γ = 90.00°
Positions (direct):
1 La 0.0000 0.0000 0.0000
2 La 0.5000 0.5000 0.0000
3 Pt 0.6697 0.8303 0.5000
4 Pt 0.8303 0.3303 0.5000
5 Pt 0.1697 0.6697 0.5000
6 Pt 0.3303 0.1697 0.5000
7 Rh 0.8722 0.6278 0.0000
8 Rh 0.1278 0.3722 0.0000
9 Rh 0.6278 0.1278 0.0000
10 Rh 0.3722 0.8722 0.0000

---

Run two
An optimized crystal structure of LaPt2Rh2. Source: Alexandria via LeMat-Bulk, functional PBE.

Calculated values
Symmetry: P4/mbm, No. 127

a = 7.7731 Å, b = 7.7731 Å, c = 2.9683 Å
α = 90.00°, β = 90.00°, γ = 90.00°
Positions (direct):
1 Pt 0.3748 0.8748 0.0000
2 Pt 0.8748 0.6252 0.0000
3 Pt 0.6252 0.1252 0.0000
4 Pt 0.1252 0.3748 0.0000
5 Rh 0.8248 0.3248 0.5000
6 Rh 0.1752 0.6752 0.5000
7 Rh 0.6752 0.8248 0.5000
8 Rh 0.3248 0.1752 0.5000
9 La 0.5000 0.5000 0.0000
10 La 0.0000 0.0000 0.0000

---

Run three
An optimized crystal structure of LaPt2Rh2. Source: Alexandria via LeMat-Bulk, functional PBE.

Calculated values
Symmetry: I4/mmm, No. 139

a = 4.0331 Å, b = 4.0331 Å, c = 12.2585 Å
α = 99.47°, β = 99.47°, γ = 90.00°
Positions (direct):
1 Pt 0.1780 0.1780 0.3559
2 Pt 0.5000 0.0000 0.0000
3 Pt 0.0000 0.5000 0.0000
4 Pt 0.8220 0.8220 0.6441
5 La 0.3818 0.3818 0.7635
6 La 0.6182 0.6182 0.2365
7 Rh 0.2500 0.7500 0.5000
8 Rh 0.0741 0.0741 0.1482
9 Rh 0.9259 0.9259 0.8518
10 Rh 0.7500 0.2500 0.5000

---

Stability, descending: run three, run one, run two

---

Run one
An optimized crystal structure of LaPtRh. Source: Alexandria via LeMat-Bulk, functional PBE.

Calculated values
Symmetry: Imma, No. 74

a = 5.4999 Å, b = 5.4999 Å, c = 5.4999 Å
α = 89.95°, β = 120.46°, γ = 119.59°
Positions (direct):
1 Pt 0.0000 0.5000 0.0000
2 Pt 0.5000 0.5000 0.5000
3 Rh 0.5000 0.0000 0.5000
4 Rh 0.0000 0.5000 0.5000
5 La 0.2500 0.1242 0.8742
6 La 0.7500 0.8758 0.1258

---

Run two
An optimized crystal structure of LaPtRh. Source: Alexandria via LeMat-Bulk, functional PBE.

Calculated values
Symmetry: F-43m, No. 216

a = 4.6486 Å, b = 4.6486 Å, c = 4.6486 Å
α = 60.00°, β = 60.00°, γ = 60.00°
Positions (direct):
1 Pt 0.0000 0.0000 0.0000
2 La 0.2500 0.2500 0.2500
3 Rh 0.5000 0.5000 0.5000

---

Run three
An optimized crystal structure of LaPtRh. Source: Alexandria via LeMat-Bulk, functional PBE.

Calculated values
Symmetry: I4mm, No. 107

a = 3.7141 Å, b = 3.7141 Å, c = 5.1629 Å
α = 111.08°, β = 111.08°, γ = 90.00°
Positions (direct):
1 La 0.6175 0.6175 0.2350
2 Pt 0.2904 0.2904 0.5807
3 Rh 0.9421 0.9421 0.8843

---

Stability, descending: run one, run three, run two

---

Run one
An optimized crystal structure of LaThPtRh. Source: Alexandria via LeMat-Bulk, functional PBE.

Calculated values
Symmetry: F-43m, No. 216

a = 5.1020 Å, b = 5.1020 Å, c = 5.1020 Å
α = 60.00°, β = 60.00°, γ = 60.00°
Positions (direct):
1 Rh 0.2500 0.2500 0.2500
2 Th 0.5000 0.5000 0.5000
3 Pt 0.7500 0.7500 0.7500
4 La 0.0000 0.0000 0.0000

---

Run two
An optimized crystal structure of LaThPtRh. Source: Alexandria via LeMat-Bulk, functional PBE.

Calculated values
Symmetry: Amm2, No. 38

a = 3.9282 Å, b = 4.3566 Å, c = 6.0068 Å
α = 90.00°, β = 109.09°, γ = 90.00°
Positions (direct):
1 Th 0.8683 0.5000 0.7365
2 Rh 0.3997 0.0000 0.7993
3 La 0.1411 0.0000 0.2822
4 Pt 0.5910 0.5000 0.1819

---

Stability, descending: run two, run one

---

Run one
An optimized crystal structure of LaRuPt3. Source: Alexandria via LeMat-Bulk, functional PBE.

Calculated values
Symmetry: Pm-3m, No. 221

a = 5.1589 Å, b = 5.1589 Å, c = 5.1589 Å
α = 90.00°, β = 90.00°, γ = 90.00°
Each line ends with the local moment (μB).
Positions (direct):
1 Ru 0.5000 0.5000 0.5000  2.66
2 La 0.0000 0.0000 0.0000  -0.03
3 Pt 0.0000 0.5000 0.0000  -0.03
4 Pt 0.5000 0.0000 0.0000  0.10
5 Pt 0.0000 0.0000 0.5000  -0.06

---

Run two
An optimized crystal structure of LaRuPt3. Source: Alexandria via LeMat-Bulk, functional PBE.

Calculated values
Symmetry: Pm-3m, No. 221

a = 4.8701 Å, b = 4.8701 Å, c = 4.8701 Å
α = 90.00°, β = 90.00°, γ = 90.00°
Each line ends with the local moment (μB).
Positions (direct):
1 La 0.5000 0.5000 0.5000  -0.01
2 Pt 0.5000 0.0000 0.0000  0.07
3 Pt 0.0000 0.5000 0.0000  0.16
4 Pt 0.0000 0.0000 0.5000  0.33
5 Ru 0.0000 0.0000 0.0000  0.73

---

Stability, descending: run two, run one